Here is a relaxed structure of PmMgSe3 from Alexandria. Energies are from GGA-PBE.

Lattice parameters (Å, degrees): 7.354 7.354 6.326 73.41 73.41 107.96
Atoms (fractional coordinates):
Se  0.134  0.821  0.763
Se  0.821  0.134  0.763
Se  0.398  0.398  0.301
Se  0.866  0.179  0.237
Se  0.602  0.602  0.699
Se  0.179  0.866  0.237
Pm  0.230  0.230  0.818
Pm  0.770  0.770  0.182
Mg  0.328  0.672  0.000
Mg  0.672  0.328  0.000

Formation energy from raw total energies (eV per formula unit): -5.76
Calculated volume (Å³ per cell): 284.5
Crystal system: monoclinic
Symmetry: No. 12
Energy (eV per atom): -4.51